(1)
A relaxed structure of TiFe2PtO, computed with PBE with a Hubbard U.

a = 5.0212 Å, b = 5.0212 Å, c = 3.8217 Å
α = 90.00°, β = 90.00°, γ = 90.00°
Sites, in units of the cell vectors:
Ti 0.0000 0.0000 0.0000
Fe 0.0000 0.5000 0.5000
Fe 0.5000 0.0000 0.5000
Pt 0.5000 0.5000 0.5000
O 0.5000 0.5000 0.0000

As for the space group: P4/mmm. The value obtained for the spin magnetization is 4.83 μB per formula unit. For the total energy, the calculation gives -5.303 eV per atom.

(2)
A relaxed structure of Tl2FePtO4, computed with PBE with a Hubbard U.

a = 11.7558 Å, b = 10.3156 Å, c = 6.9790 Å
α = 83.25°, β = 60.62°, γ = 36.13°
Sites, in units of the cell vectors:
Tl 0.0463 0.0463 0.7037
Tl 0.2963 0.2963 0.9537
Tl 0.7037 0.7037 0.0463
Tl 0.9537 0.9537 0.2963
Fe 0.3750 0.3750 0.3750
Fe 0.6250 0.6250 0.6250
Pt 0.1250 0.1250 0.1250
Pt 0.8750 0.8750 0.8750
O 0.0374 0.7085 0.5101
O 0.2440 0.5101 0.7085
O 0.2915 0.9626 0.7560
O 0.4899 0.7560 0.9626
O 0.5101 0.2440 0.0374
O 0.7085 0.0374 0.2440
O 0.7560 0.4899 0.2915
O 0.9626 0.2915 0.4899

As for the space group: Fddd. The value obtained for the spin magnetization is 1.96 μB per formula unit. For the total energy, the calculation gives -5.185 eV per atom.

(3)
A relaxed structure of PuFe2O6, computed with PBE with a Hubbard U.

a = 4.8132 Å, b = 4.8132 Å, c = 9.2705 Å
α = 90.00°, β = 90.00°, γ = 90.00°
Sites, in units of the cell vectors:
Pu 0.0000 0.0000 0.0000
Pu 0.5000 0.5000 0.5000
Fe 0.0000 0.0000 0.3327
Fe 0.0000 0.0000 0.6673
Fe 0.5000 0.5000 0.1673
Fe 0.5000 0.5000 0.8327
O 0.1926 0.1926 0.5000
O 0.1946 0.1946 0.1650
O 0.1946 0.1946 0.8350
O 0.3054 0.6946 0.3350
O 0.3054 0.6946 0.6650
O 0.3074 0.6926 0.0000
O 0.6926 0.3074 0.0000
O 0.6946 0.3054 0.3350
O 0.6946 0.3054 0.6650
O 0.8054 0.8054 0.1650
O 0.8054 0.8054 0.8350
O 0.8074 0.8074 0.5000

As for the space group: P4_2/mnm. The value obtained for the spin magnetization is 8.00 μB per formula unit. For the total energy, the calculation gives -7.918 eV per atom.